First-principles (PBE-GGA) data for a geometry-optimized Nd2AgSn3Rh4 structure, as listed in the Alexandria database.

Output
The space group is P-4m2 (115). For the formation energy, the calculation gives -0.596 eV per atom.

Cell: 4.2676 4.2676 11.7112 Å, 90.00 90.00 90.00°
Positions (direct):
Nd 0.5000 0.0000 0.2625
Nd 0.0000 0.5000 0.7375
Ag 0.5000 0.5000 0.5000
Sn 0.0000 0.0000 0.5000
Sn 0.5000 0.0000 0.8713
Sn 0.0000 0.5000 0.1287
Rh 0.5000 0.5000 0.0000
Rh 0.0000 0.0000 0.0000
Rh 0.5000 0.0000 0.6490
Rh 0.0000 0.5000 0.3510


First-principles (PBE-GGA) data for a geometry-optimized TbNdAgRh structure, as listed in the Alexandria database.

Output
The space group is F-43m (216). For the formation energy, the calculation gives -0.490 eV per atom.

Cell: 5.0799 5.0799 5.0799 Å, 60.00 60.00 60.00°
Positions (direct):
Nd 0.5000 0.5000 0.5000
Rh 0.7500 0.7500 0.7500
Tb 0.0000 0.0000 0.0000
Ag 0.2500 0.2500 0.2500


First-principles (PBE-GGA) data for a geometry-optimized Nd5Tl2AgRh2 structure, as listed in the Alexandria database.

Output
The space group is P4/mbm (127). For the formation energy, the calculation gives -0.458 eV per atom.

Cell: 3.7865 12.0614 12.0614 Å, 90.00 90.00 90.00°
Positions (direct):
Nd 0.5000 0.2029 0.0778
Nd 0.5000 0.7971 0.9222
Nd 0.5000 0.0778 0.7971
Nd 0.5000 0.7029 0.4222
Nd 0.5000 0.9222 0.2029
Nd 0.5000 0.2971 0.5778
Nd 0.5000 0.5778 0.7029
Nd 0.5000 0.4222 0.2971
Nd 0.5000 0.5000 0.0000
Nd 0.5000 0.0000 0.5000
Tl 0.0000 0.6736 0.1736
Tl 0.0000 0.3264 0.8264
Tl 0.0000 0.1736 0.3264
Tl 0.0000 0.8264 0.6736
Ag 0.0000 0.0000 0.0000
Ag 0.0000 0.5000 0.5000
Rh 0.0000 0.1324 0.6324
Rh 0.0000 0.8676 0.3676
Rh 0.0000 0.6324 0.8676
Rh 0.0000 0.3676 0.1324


First-principles (PBE-GGA) data for a geometry-optimized NdTmAgRh structure, as listed in the Alexandria database.

Output
The space group is F-43m (216). For the formation energy, the calculation gives -0.513 eV per atom.

Cell: 5.0411 5.0411 5.0411 Å, 60.00 60.00 60.00°
Positions (direct):
Rh 0.7500 0.7500 0.7500
Tm 0.0000 0.0000 0.0000
Nd 0.5000 0.5000 0.5000
Ag 0.2500 0.2500 0.2500


First-principles (PBE-GGA) data for a geometry-optimized NdYAgRh structure, as listed in the Alexandria database.

Output
The space group is F-43m (216). For the formation energy, the calculation gives -0.493 eV per atom.

Cell: 5.0782 5.0782 5.0782 Å, 60.00 60.00 60.00°
Positions (direct):
Y 0.7500 0.7500 0.7500
Rh 0.5000 0.5000 0.5000
Nd 0.2500 0.2500 0.2500
Ag 0.0000 0.0000 0.0000


First-principles (PBE-GGA) data for a geometry-optimized NdZnAgRh structure, as listed in the Alexandria database.

Output
The space group is F-43m (216). For the formation energy, the calculation gives -0.272 eV per atom.

Cell: 4.8200 4.8200 4.8200 Å, 60.00 60.00 60.00°
Positions (direct):
Rh 0.7500 0.7500 0.7500
Zn 0.5000 0.5000 0.5000
Nd 0.0000 0.0000 0.0000
Ag 0.2500 0.2500 0.2500


First-principles (PBE-GGA) data for a geometry-optimized Nd6AgRu2 structure, as listed in the Alexandria database.

Output
The space group is Immm (71). For the formation energy, the calculation gives -0.201 eV per atom.

Cell: 8.7037 8.7037 8.7037 Å, 105.18 111.06 112.26°
Positions (direct):
Nd 0.5361 0.7171 0.8190
Nd 0.4639 0.2829 0.1810
Nd 0.1019 0.2829 0.8190
Nd 0.8981 0.7171 0.1810
Nd 0.8031 0.7632 0.5662
Nd 0.1969 0.2368 0.4338
Nd 0.1969 0.7632 0.9601
Nd 0.8031 0.2368 0.0399
Nd 0.6852 0.3576 0.6724
Nd 0.3148 0.6424 0.3276
Nd 0.3148 0.9872 0.6724
Nd 0.6852 0.0128 0.3276
Ag 0.0000 0.5000 0.5000
Ag 0.0000 0.0000 0.0000
Ru 0.5000 0.3757 0.8757
Ru 0.5000 0.6243 0.1243
Ru 0.6765 0.0000 0.6765
Ru 0.3235 0.0000 0.3235


First-principles (PBE-GGA) data for a geometry-optimized Nd6AgRu structure, as listed in the Alexandria database.

Output
The space group is R-3 (148). For the formation energy, the calculation gives 0.008 eV per atom.

Cell: 6.9128 6.9148 7.7951 Å, 63.68 63.70 60.01°
Positions (direct):
Nd 0.0559 0.4184 0.7609
Nd 0.7647 0.0557 0.7609
Nd 0.5817 0.2352 0.2391
Nd 0.2353 0.9443 0.2391
Nd 0.9441 0.5816 0.2391
Nd 0.4183 0.7648 0.7609
Ag 0.5000 0.5000 0.5000
Ru 0.0000 0.0000 0.0000


First-principles (PBE-GGA) data for a geometry-optimized Nd4Ag2Ru structure, as listed in the Alexandria database.

Output
The space group is R-3m (166). For the formation energy, the calculation gives -0.113 eV per atom.

Cell: 5.1903 5.1903 8.9360 Å, 73.12 73.12 60.00°
Positions (direct):
Nd 0.8814 0.8814 0.3558
Nd 0.1186 0.1186 0.6442
Nd 0.6295 0.6295 0.1114
Nd 0.3705 0.3705 0.8886
Ag 0.7543 0.7543 0.7370
Ag 0.2457 0.2457 0.2630
Ru 0.0000 0.0000 0.0000


First-principles (PBE-GGA) data for a geometry-optimized Nd4AgRu structure, as listed in the Alexandria database.

Output
The space group is F-43m (216). For the formation energy, the calculation gives -0.216 eV per atom.

Cell: 9.8489 9.8489 9.8489 Å, 60.00 60.00 60.00°
Positions (direct):
Nd 0.4022 0.4022 0.4022
Nd 0.7933 0.4022 0.4022
Nd 0.4022 0.7933 0.4022
Nd 0.4022 0.4022 0.7933
Nd 0.5593 0.5593 0.9407
Nd 0.9407 0.9407 0.5593
Nd 0.5593 0.9407 0.5593
Nd 0.9407 0.5593 0.9407
Nd 0.9407 0.5593 0.5593
Nd 0.5593 0.9407 0.9407
Nd 0.1889 0.1889 0.8111
Nd 0.8111 0.8111 0.1889
Nd 0.1889 0.8111 0.1889
Nd 0.8111 0.1889 0.8111
Nd 0.8111 0.1889 0.1889
Nd 0.1889 0.8111 0.8111
Ag 0.1694 0.1694 0.1694
Ag 0.4917 0.1694 0.1694
Ag 0.1694 0.4917 0.1694
Ag 0.1694 0.1694 0.4917
Ru 0.6118 0.6118 0.6118
Ru 0.1647 0.6118 0.6118
Ru 0.6118 0.1647 0.6118
Ru 0.6118 0.6118 0.1647


First-principles (PBE-GGA) data for a geometry-optimized Nd8AgRu2 structure, as listed in the Alexandria database.

Output
The space group is C2/m (12). For the formation energy, the calculation gives -0.076 eV per atom.

Cell: 5.9083 7.9825 7.9825 Å, 114.22 98.82 98.82°
Positions (direct):
Nd 0.9255 0.9214 0.6665
Nd 0.9255 0.6665 0.9214
Nd 0.3044 0.6134 0.6134
Nd 0.5000 0.7615 0.2385
Nd 0.5000 0.2385 0.7615
Nd 0.6956 0.3866 0.3866
Nd 0.0745 0.3335 0.0786
Nd 0.0745 0.0786 0.3335
Ag 0.5000 0.0000 0.0000
Ru 0.0000 0.2970 0.7030
Ru 0.0000 0.7030 0.2970


First-principles (PBE-GGA) data for a geometry-optimized Nd5AgRu2 structure, as listed in the Alexandria database.

Output
The space group is I4/mcm (140). For the formation energy, the calculation gives -0.242 eV per atom.

Cell: 7.9677 7.9677 8.8658 Å, 116.70 116.70 90.00°
Positions (direct):
Nd 0.5246 0.7079 0.7325
Nd 0.7921 0.9754 0.2675
Nd 0.0000 0.0000 0.0000
Nd 0.5000 0.5000 0.0000
Nd 0.2079 0.0246 0.7325
Nd 0.7079 0.2079 0.7325
Nd 0.0246 0.5246 0.7325
Nd 0.2921 0.7921 0.2675
Nd 0.9754 0.4754 0.2675
Nd 0.4754 0.2921 0.2675
Ag 0.7500 0.7500 0.5000
Ag 0.2500 0.2500 0.5000
Ru 0.1426 0.3574 0.0000
Ru 0.6426 0.1426 0.0000
Ru 0.3574 0.8574 0.0000
Ru 0.8574 0.6426 0.0000


First-principles (PBE-GGA) data for a geometry-optimized Nd6AgRu2 structure, as listed in the Alexandria database.

Output
The space group is C2/m (12). For the formation energy, the calculation gives -0.154 eV per atom.

Cell: 5.3200 5.7545 9.1411 Å, 81.50 90.00 117.53°
Positions (direct):
Nd 0.9574 0.9148 0.8396
Nd 0.7130 0.4260 0.1635
Nd 0.2870 0.5740 0.8365
Nd 0.6541 0.3082 0.6080
Nd 0.3459 0.6918 0.3920
Nd 0.0426 0.0852 0.1604
Ag 0.0000 0.0000 0.5000
Ru 0.6096 0.2191 0.8985
Ru 0.3904 0.7809 0.1015


First-principles (PBE-GGA) data for a geometry-optimized Nd12Ag6Ru structure, as listed in the Alexandria database.

Output
The space group is R-3 (148). For the formation energy, the calculation gives -0.083 eV per atom.

Cell: 8.3317 8.3317 8.3317 Å, 93.32 93.32 93.32°
Positions (direct):
Nd 0.8051 0.5664 0.4586
Nd 0.4586 0.8051 0.5664
Nd 0.5664 0.4586 0.8051
Nd 0.1949 0.4336 0.5414
Nd 0.5414 0.1949 0.4336
Nd 0.4336 0.5414 0.1949
Nd 0.9689 0.0907 0.3193
Nd 0.9093 0.6807 0.0311
Nd 0.6807 0.0311 0.9093
Nd 0.0311 0.9093 0.6807
Nd 0.0907 0.3193 0.9689
Nd 0.3193 0.9689 0.0907
Ag 0.6603 0.8582 0.2592
Ag 0.7408 0.3397 0.1418
Ag 0.1418 0.7408 0.3397
Ag 0.3397 0.1418 0.7408
Ag 0.2592 0.6603 0.8582
Ag 0.8582 0.2592 0.6603
Ru 0.0000 0.0000 0.0000


First-principles (PBE-GGA) data for a geometry-optimized Nd4AgRu structure, as listed in the Alexandria database.

Output
The space group is C2/c (15). For the formation energy, the calculation gives -0.194 eV per atom.

Cell: 6.4160 9.3192 7.7978 Å, 114.79 98.77 115.67°
Positions (direct):
Nd 0.1246 0.2140 0.8381
Nd 0.7629 0.7245 0.6599
Nd 0.2134 0.6240 0.8381
Nd 0.3970 0.9354 0.6599
Nd 0.6030 0.0646 0.3401
Nd 0.7866 0.3760 0.1619
Nd 0.2371 0.2755 0.3401
Nd 0.8754 0.7860 0.1619
Ag 0.3766 0.6266 0.2533
Ag 0.6234 0.3734 0.7467
Ru 0.2488 0.9988 0.9976
Ru 0.7512 0.0012 0.0024


First-principles (PBE-GGA) data for a geometry-optimized Nd4Ag2Ru structure, as listed in the Alexandria database.

Output
The space group is P2_1/m (11). For the formation energy, the calculation gives -0.120 eV per atom.

Cell: 5.9887 6.5414 10.6620 Å, 90.00 111.38 90.00°
Positions (direct):
Nd 0.5289 0.5045 0.2551
Nd 0.0638 0.7500 0.9041
Nd 0.9362 0.2500 0.0959
Nd 0.5289 0.9955 0.2551
Nd 0.8576 0.2500 0.5733
Nd 0.4711 0.0045 0.7449
Nd 0.4711 0.4955 0.7449
Nd 0.1424 0.7500 0.4267
Ag 0.6392 0.7500 0.0200
Ag 0.3608 0.2500 0.9800
Ag 0.2674 0.2500 0.4363
Ag 0.7326 0.7500 0.5637
Ru 0.1265 0.7500 0.1769
Ru 0.8735 0.2500 0.8231


First-principles (PBE-GGA) data for a geometry-optimized NdYAgRu structure, as listed in the Alexandria database.

Output
The space group is P4mm (99). For the formation energy, the calculation gives -0.315 eV per atom.

Cell: 3.4806 3.4806 7.6360 Å, 90.00 90.00 90.00°
Positions (direct):
Nd 0.5000 0.5000 0.7929
Y 0.5000 0.5000 0.3459
Ag 0.0000 0.0000 0.0847
Ru 0.0000 0.0000 0.5613


First-principles (PBE-GGA) data for a geometry-optimized NdYAgRu structure, as listed in the Alexandria database.

Output
The space group is F-43m (216). For the formation energy, the calculation gives -0.254 eV per atom.

Cell: 5.0515 5.0515 5.0515 Å, 60.00 60.00 60.00°
Positions (direct):
Y 0.5000 0.5000 0.5000
Ru 0.7500 0.7500 0.7500
Nd 0.0000 0.0000 0.0000
Ag 0.2500 0.2500 0.2500


First-principles (PBE-GGA) data for a geometry-optimized Nd2AgS4 structure, as listed in the Alexandria database.

Output
The space group is P2_1/m (11). The value obtained for the uncorrected formation energy is -1.37 eV per atom.

Cell: 7.0062 5.6670 8.2186 Å, 90.00 105.55 90.00°
Positions (direct):
Nd 0.7731 0.7500 0.0824
Nd 0.2269 0.2500 0.9176
Nd 0.2365 0.2500 0.4366
Nd 0.7635 0.7500 0.5634
Ag 0.2508 0.7500 0.1724
Ag 0.7492 0.2500 0.8276
S 0.5383 0.4790 0.2645
S 0.0511 0.7500 0.8787
S 0.9489 0.2500 0.1213
S 0.5383 0.0210 0.2645
S 0.9344 0.2500 0.6043
S 0.4617 0.9790 0.7355
S 0.4617 0.5210 0.7355
S 0.0656 0.7500 0.3957


First-principles (PBE-GGA) data for a geometry-optimized NdAg2S2 structure, as listed in the Alexandria database.

Output
The space group is C2/c (15). The value obtained for the uncorrected formation energy is -0.74 eV per atom.

Cell: 7.4701 5.8628 5.8628 Å, 89.20 110.97 110.97°
Positions (direct):
Nd 0.2500 0.8625 0.1375
Nd 0.7500 0.1375 0.8625
Ag 0.0000 0.5000 0.5000
Ag 0.0000 0.0000 0.5000
Ag 0.5000 0.5000 0.5000
Ag 0.5000 0.5000 0.0000
S 0.2014 0.3371 0.1155
S 0.7986 0.6629 0.8845
S 0.2986 0.8845 0.6629
S 0.7014 0.1155 0.3371


Number 1: M_tot 0.0 μB per cell, ρ 9.063 g/cm³, D(E_F) 6.425 states/eV/f.u.. Number 2: M_tot 0.0 μB per cell, ρ 9.207 g/cm³, D(E_F) 3.507 states/eV/f.u.. Number 3: M_tot 0.0 μB per cell, ρ 8.704 g/cm³, D(E_F) 5.147 states/eV/f.u.. Number 4: M_tot 0.0 μB per cell, ρ 9.605 g/cm³, D(E_F) 3.404 states/eV/f.u.. Number 5: M_tot 0.0 μB per cell, ρ 7.961 g/cm³, D(E_F) 3.698 states/eV/f.u.. Number 6: M_tot 0.0 μB per cell, ρ 8.817 g/cm³, D(E_F) 2.763 states/eV/f.u.. Number 7: M_tot 0.0 μB per cell, ρ 7.724 g/cm³, D(E_F) 8.104 states/eV/f.u.. Number 8: M_tot 0.0 μB per cell, ρ 6.435 g/cm³, D(E_F) 10.628 states/eV/f.u.. Number 9: M_tot 0.0 μB per cell, ρ 7.557 g/cm³, D(E_F) 7.506 states/eV/f.u.. Number 10: M_tot 0.0 μB per cell, ρ 7.727 g/cm³, D(E_F) 6.114 states/eV/f.u.. Number 11: M_tot 0.0 μB per cell, ρ 7.380 g/cm³, D(E_F) 13.660 states/eV/f.u.. Number 12: M_tot 0.0 μB per cell, ρ 7.881 g/cm³, D(E_F) 7.442 states/eV/f.u.. Number 13: M_tot 0.0 μB per cell, ρ 7.977 g/cm³, D(E_F) 7.554 states/eV/f.u.. Number 14: M_tot 0.0 μB per cell, ρ 7.156 g/cm³, D(E_F) 19.590 states/eV/f.u.. Number 15: M_tot 0.0 μB per cell, ρ 7.495 g/cm³, D(E_F) 6.683 states/eV/f.u.. Number 16: M_tot 0.0 μB per cell, ρ 7.632 g/cm³, D(E_F) 4.498 states/eV/f.u.. Number 17: M_tot 0.0 μB per cell, ρ 7.936 g/cm³, D(E_F) 2.491 states/eV/f.u.. Number 18: M_tot 0.0 μB per cell, ρ 8.054 g/cm³, D(E_F) 3.177 states/eV/f.u.. Number 19: M_tot 0.0 μB per cell, ρ 5.542 g/cm³, D(E_F) 1.815 states/eV/f.u.. Number 20: M_tot 0.0 μB per cell, ρ 6.346 g/cm³, D(E_F) 2.119 states/eV/f.u..